! GGA+U NaCoPO, optimized geometry; values from VASP
! symmetry: Pmc2_1 (26)
! M_tot: 3.957 Bohr magnetons per cell
! crystal system: orthorhombic
! energy: -4.6322 eV per atom
&SYSTEM
  ibrav = 0, nat = 8, ntyp = 4
/
ATOMIC_SPECIES
Co 58.93 Co.upf
Na 22.99 Na.upf
O 16.00 O.upf
P 30.97 P.upf
CELL_PARAMETERS angstrom
-0.349 -1.549 -2.610
-5.112 -3.592 2.816
-4.034 4.206 -1.957
ATOMIC_POSITIONS crystal
Co 0.000 0.182 0.474
Co 0.000 0.818 0.974
Na 0.500 0.384 0.055
Na 0.500 0.616 0.555
O 0.500 0.327 0.406
O 0.500 0.673 0.906
P 0.000 0.895 0.319
P 0.000 0.105 0.819